First-principles (PBE) data for NiSe2Br after structural relaxation, as listed in Alexandria.

E above lowest polymorph ... 0.371 eV/atom

Cell: 5.565 5.565 5.565 Å, 140.44 115.39 78.48°
Positions (direct):
Ni 0.000 0.000 0.000
Se 0.151 0.651 0.500
Se 0.849 0.349 0.500
Br 0.500 0.500 0.000

---

First-principles (PBE) data for Ba2GaHgPd after structural relaxation, as listed in Alexandria.

E above lowest polymorph ... 0.490 eV/atom
Formation energy from the elements ... 0.05 eV/atom

Cell: 6.393 6.393 5.080 Å, 90.00 90.00 90.00°
Positions (direct):
Ba 0.000 0.500 0.000
Ba 0.500 0.000 0.000
Ga 0.000 0.000 0.500
Hg 0.500 0.500 0.000
Pd 0.500 0.500 0.500

---

First-principles (PBE) data for Li2VP2 after structural relaxation, as listed in Alexandria.

Formation energy from the elements ... -0.46 eV/atom

Cell: 6.189 6.189 3.961 Å, 90.00 90.00 90.00°
Positions (direct):
Li 0.172 0.328 0.000
Li 0.328 0.828 0.000
Li 0.672 0.172 0.000
Li 0.828 0.672 0.000
V 0.000 0.000 0.500
V 0.500 0.500 0.500
P 0.128 0.628 0.500
P 0.372 0.128 0.500
P 0.628 0.872 0.500
P 0.872 0.372 0.500

---

First-principles (PBE) data for BaHf2SnO after structural relaxation, as listed in Alexandria.

E ... -34.3 eV for the cell shown

Cell: 4.571 4.571 5.377 Å, 90.00 90.00 90.00°
Positions (direct):
Ba 0.000 0.000 0.000
Hf 0.000 0.500 0.500
Hf 0.500 0.000 0.500
Sn 0.500 0.500 0.000
O 0.000 0.000 0.500

---

First-principles (PBE) data for Sm3Bi3H2 after structural relaxation, as listed in Alexandria.

E ... -37.6 eV for the cell shown

Cell: 3.612 5.899 9.334 Å, 80.23 79.90 89.92°
Positions (direct):
Sm 0.000 0.000 0.000
Sm 0.180 0.585 0.659
Sm 0.820 0.415 0.341
Bi 0.333 0.928 0.313
Bi 0.500 0.500 0.000
Bi 0.667 0.072 0.687
H 0.262 0.396 0.470
H 0.738 0.604 0.530

---

First-principles (PBE) data for BaHo2Au2O6 after structural relaxation, as listed in Alexandria.

E ... -66.3 eV for the cell shown

Cell: 6.598 6.937 6.993 Å, 60.95 66.53 87.24°
Positions (direct):
Ba 0.000 0.000 0.000
Ho 0.271 0.554 0.461
Ho 0.729 0.446 0.539
Au 0.060 0.213 0.377
Au 0.940 0.787 0.623
O 0.094 0.577 0.248
O 0.353 0.326 0.797
O 0.407 0.236 0.625
O 0.593 0.764 0.375
O 0.647 0.674 0.203
O 0.906 0.423 0.752

---

- Number 3 is which compound?
  Li2VP2

---

Copy entry 6 word for word.
First-principles (PBE) data for BaHo2Au2O6 after structural relaxation, as listed in Alexandria.

E ... -66.3 eV for the cell shown

Cell: 6.598 6.937 6.993 Å, 60.95 66.53 87.24°
Positions (direct):
Ba 0.000 0.000 0.000
Ho 0.271 0.554 0.461
Ho 0.729 0.446 0.539
Au 0.060 0.213 0.377
Au 0.940 0.787 0.623
O 0.094 0.577 0.248
O 0.353 0.326 0.797
O 0.407 0.236 0.625
O 0.593 0.764 0.375
O 0.647 0.674 0.203
O 0.906 0.423 0.752

---

- What is the formula in the fourth record?
  BaHf2SnO